1.
! PmPr6Dy2 PBE optimized geometry; values from VASP
! D(E_F) = 26.649 states/eV/cell
! Theoretical density = 6.87 Mg/m³
! Energy of formation from the pure elements = 0.1293 eV/atom
! Symmetry = C2/c
! Excess energy over the best structure of this formula in the dataset = 115 meV per atom
&SYSTEM
  ibrav = 0, nat = 18, ntyp = 3
/
ATOMIC_SPECIES
Pm 145.00 Pm.upf
Pr 140.91 Pr.upf
Dy 162.50 Dy.upf
CELL_PARAMETERS angstrom
5.727 -10.725 0.000
5.727 10.725 0.000
-3.209 0.000 5.174
ATOMIC_POSITIONS angstrom
Pm 3.320 10.531 3.880
Pm 4.925 -10.531 1.293
Pr 3.509 7.553 2.150
Pr 1.515 4.761 4.552
Pr 6.341 7.553 0.436
Pr 1.489 1.121 4.537
Pr 5.125 4.761 3.208
Pr 3.094 -1.121 1.950
Pr 5.151 1.121 3.224
Pr 3.119 -4.761 1.965
Pr 6.756 -1.121 0.637
Pr 1.904 -7.553 4.737
Pr 6.730 -4.761 0.621
Pr 4.736 -7.553 3.023
Dy 2.390 2.752 1.519
Dy 0.785 -2.752 4.106
Dy 7.460 2.752 1.068
Dy 5.855 -2.752 3.655

2.
! Pm7Pr3Dy PBE optimized geometry; values from VASP
! D(E_F) = 16.692 states/eV/cell
! Theoretical density = 6.63 Mg/m³
! Energy of formation from the pure elements = 0.1646 eV/atom
! Symmetry = P3m1
! Excess energy over the best structure of this formula in the dataset = 46 meV per atom
&SYSTEM
  ibrav = 0, nat = 11, ntyp = 3
/
ATOMIC_SPECIES
Pm 145.00 Pm.upf
Pr 140.91 Pr.upf
Dy 162.50 Dy.upf
CELL_PARAMETERS angstrom
7.238 0.000 0.000
-3.619 6.269 0.000
0.000 0.000 8.829
ATOMIC_POSITIONS angstrom
Pm 0.000 0.000 0.000
Pm -1.804 3.138 0.053
Pm 1.806 1.043 5.952
Pm 1.804 3.138 0.053
Pm 0.000 6.262 0.053
Pm 5.432 1.043 5.952
Pm 3.619 4.183 5.952
Pr 0.000 2.093 3.014
Pr -1.806 5.222 3.014
Pr 1.806 5.222 3.014
Dy 0.000 4.179 6.015

3.
! Pm2Pr2Dy PBE optimized geometry; values from VASP
! D(E_F) = 17.348 states/eV/cell
! Theoretical density = 7.00 Mg/m³
! Energy of formation from the pure elements = 0.0267 eV/atom
! Symmetry = P2_1/m
! Excess energy over the best structure of this formula in the dataset = 0 meV per atom
&SYSTEM
  ibrav = 0, nat = 10, ntyp = 3
/
ATOMIC_SPECIES
Pm 145.00 Pm.upf
Pr 140.91 Pr.upf
Dy 162.50 Dy.upf
CELL_PARAMETERS angstrom
6.404 0.000 0.000
0.000 5.880 0.000
-3.187 0.000 9.257
ATOMIC_POSITIONS angstrom
Pm -1.052 1.470 3.693
Pm -1.054 1.470 7.398
Pm 4.271 4.410 1.859
Pm 4.269 4.410 5.564
Pr 1.076 4.410 0.003
Pr 1.074 4.410 3.691
Pr 2.143 1.470 5.566
Pr 2.141 1.470 9.254
Dy 2.162 1.470 1.850
Dy 1.054 4.410 7.407

4.
! Pm4Pr11Dy9 PBE optimized geometry; values from VASP
! D(E_F) = 31.341 states/eV/cell
! Theoretical density = 7.22 Mg/m³
! Energy of formation from the pure elements = 0.0621 eV/atom
! Symmetry = Cmmm
&SYSTEM
  ibrav = 0, nat = 24, ntyp = 3
/
ATOMIC_SPECIES
Pm 145.00 Pm.upf
Pr 140.91 Pr.upf
Dy 162.50 Dy.upf
CELL_PARAMETERS angstrom
8.566 -12.935 0.000
8.566 12.935 0.000
0.000 0.000 3.728
ATOMIC_POSITIONS angstrom
Pm 2.675 2.614 0.000
Pm 2.675 -2.614 0.000
Pm 14.456 2.614 0.000
Pm 14.456 -2.614 0.000
Pr 4.718 4.684 1.864
Pr 8.566 9.494 1.864
Pr 3.599 0.000 1.864
Pr 8.566 4.130 1.864
Pr 4.718 -4.684 1.864
Pr 8.566 0.000 1.864
Pr 12.413 4.684 1.864
Pr 8.566 -4.130 1.864
Pr 13.533 0.000 1.864
Pr 8.566 -9.494 1.864
Pr 12.413 -4.684 1.864
Dy 0.000 0.000 0.000
Dy 6.833 6.868 0.000
Dy 6.192 1.890 0.000
Dy 10.298 6.868 0.000
Dy 6.192 -1.890 0.000
Dy 10.940 1.890 0.000
Dy 6.833 -6.868 0.000
Dy 10.940 -1.890 0.000
Dy 10.298 -6.868 0.000